First-principles (GGA-PBE) data for an optimized crystal structure of Tb4Ge3, as listed in Alexandria via LeMat-Bulk.

a = 7.6997 Å, b = 7.6997 Å, c = 7.6997 Å
α = 109.47°, β = 109.47°, γ = 109.47°
Fractional positions:
Tb1 0.3689 0.5000 0.0000
Tb2 0.5000 0.3689 0.5000
Tb3 0.0000 0.0000 0.3689
Tb4 0.6311 0.1311 0.1311
Tb5 0.0000 0.0000 0.8689
Tb6 0.1311 0.6311 0.6311
Tb7 0.8689 0.5000 0.0000
Tb8 0.5000 0.8689 0.5000
Ge1 0.1250 0.3750 0.2500
Ge2 0.6250 0.7500 0.8750
Ge3 0.8750 0.2500 0.6250
Ge4 0.2500 0.8750 0.1250
Ge5 0.7500 0.6250 0.3750
Ge6 0.3750 0.1250 0.7500

Computed properties:
- formation energy (kJ per mole of atoms) = -83
- Fermi-level density of states (states/eV/f.u.) = 0.6